Entry 1:
RbLi2Pd2: relaxed, PBE-GGA.

a = 4.6589 Å, b = 4.6589 Å, c = 10.2087 Å
α = 90.00°, β = 90.00°, γ = 90.00°
Space group I4/mmm (No. 139)
Asymmetric unit:
Rb  0.0000  0.0000  0.0000 (multiplicity 2)
Li  0.0000  0.5000  0.2500 (multiplicity 4)
Pd  0.0000  0.0000  0.3681 (multiplicity 4)

Properties
The formation energy is -0.203 eV/f.u.


Entry 2:
Rb2LiPd: relaxed, PBE-GGA.

a = 8.4175 Å, b = 8.4175 Å, c = 8.4175 Å
α = 90.00°, β = 90.00°, γ = 90.00°
Space group Fm-3m (No. 225)
Asymmetric unit:
Rb  0.2500  0.2500  0.2500 (multiplicity 8)
Li  0.0000  0.0000  0.0000 (multiplicity 4)
Pd  0.0000  0.0000  0.5000 (multiplicity 4)

Properties
The formation energy is 1.202 eV/f.u.


Entry 3:
RbLi2Pd2: relaxed, PBE-GGA.

a = 8.1743 Å, b = 8.1743 Å, c = 2.9434 Å
α = 90.00°, β = 90.00°, γ = 90.00°
Space group P4/mbm (No. 127)
Asymmetric unit:
Rb  0.0000  0.0000  0.0000 (multiplicity 2)
Li  0.1294  0.3706  0.0000 (multiplicity 4)
Pd  0.1464  0.6464  0.5000 (multiplicity 4)

Properties
The formation energy is -0.528 eV/f.u.


Entry 4:
RbLi2Pd2: relaxed, PBE-GGA.

a = 8.1233 Å, b = 8.1233 Å, c = 3.0131 Å
α = 90.00°, β = 90.00°, γ = 90.00°
Space group P4/mbm (No. 127)
Asymmetric unit:
Rb  0.0000  0.0000  0.0000 (multiplicity 2)
Li  0.1474  0.3526  0.5000 (multiplicity 4)
Pd  0.1257  0.6257  0.0000 (multiplicity 4)

Properties
The formation energy is -0.450 eV/f.u.